The following is a GGA-PBE calculation of crystalline Ho4Mg3Ru at its relaxed geometry, from Alexandria via LeMat-Bulk.

Cell: 3.486 3.486 16.626 Å, 90.00 90.00 90.00°
Positions (direct):
1 Ho 0.000 0.000 0.097
2 Ho 0.000 0.000 0.368
3 Ho 0.000 0.000 0.632
4 Ho 0.000 0.000 0.903
5 Mg 0.500 0.500 0.238
6 Mg 0.500 0.500 0.500
7 Mg 0.500 0.500 0.762
8 Ru 0.500 0.500 0.000

## Properties
The value obtained for the energy relative to the elements is -4.2 kcal/mol of atoms. The total moment comes out at 0.0 μB per formula unit. Its space-group type is P4/mmm.